Entry 1:
The following is a DFT calculation (PBE) of PtAu2Br6 after structural relaxation.

Lattice parameters (Å, degrees): 7.468 9.395 9.395 79.90 72.16 72.16
Fractional positions:
Au  0.695  0.816  0.672
Au  0.305  0.184  0.328
Au  0.805  0.328  0.184
Au  0.195  0.672  0.816
Br  0.663  0.278  0.980
Br  0.457  0.380  0.372
Br  0.543  0.620  0.628
Br  0.655  0.988  0.272
Br  0.163  0.980  0.278
Br  0.155  0.272  0.988
Br  0.043  0.628  0.620
Br  0.957  0.372  0.380
Br  0.345  0.012  0.728
Br  0.845  0.728  0.012
Br  0.337  0.722  0.020
Br  0.837  0.020  0.722
Pt  0.750  0.003  0.997
Pt  0.250  0.997  0.003

For the uncorrected formation energy, the calculation gives -111 meV/atom. For the energy above the lowest structure with this stoichiometry, the calculation gives 0 kJ/mol of formula units. Its space group is No. 15. The density of states at the Fermi level is 7.0 states/eV/f.u. The value obtained for the magnetic moment is 0.00 μB/f.u. The calculated volume comes out at 33.05 Å³ per atom.



Entry 2:
The following is a DFT calculation (PBE) of SiRu7 after structural relaxation.

Lattice parameters (Å, degrees): 5.381 5.381 5.381 60.00 60.00 60.00
Fractional positions:
Ru  0.000  0.500  0.000
Ru  0.000  0.000  0.500
Ru  0.000  0.500  0.500
Ru  0.500  0.500  0.500
Ru  0.500  0.000  0.000
Ru  0.500  0.000  0.500
Ru  0.500  0.500  0.000
Si  0.000  0.000  0.000

For the uncorrected formation energy, the calculation gives 50 meV/atom. Its space group is No. 225. The density of states at the Fermi level is 11.0 states/eV/f.u. The value obtained for the magnetic moment is 0.00 μB/f.u. The calculated volume comes out at 13.77 Å³ per atom.



Entry 3:
The following is a DFT calculation (PBE) of K2SrCl2 after structural relaxation.

Lattice parameters (Å, degrees): 5.666 5.666 8.191 69.76 69.76 90.00
Fractional positions:
Cl  0.750  0.250  0.500
Cl  0.250  0.750  0.500
Sr  0.000  0.000  0.000
K  0.672  0.672  0.657
K  0.328  0.328  0.343

For the uncorrected formation energy, the calculation gives -1205 meV/atom. For the energy above the lowest structure with this stoichiometry, the calculation gives 69 kJ/mol of formula units. Its space group is No. 139. The density of states at the Fermi level is 1.0 states/eV/f.u. The value obtained for the magnetic moment is 0.00 μB/f.u. The calculated volume comes out at 45.87 Å³ per atom.